No. 1
# Hf2Be6Nb | Alexandria via LeMat-Bulk | GGA-PBE | optimized geometry
data_Hf2Be6Nb
_chemical_formula_sum 'Hf2 Be6 Nb1'
_space_group_name_H-M_alt 'P 6/m m m'
_space_group_IT_number 191
_space_group_name_Hall '-P 6 2'
_cell_length_a 6.4681
_cell_length_b 6.4681
_cell_length_c 3.1348
_cell_angle_alpha 90.00
_cell_angle_beta 90.00
_cell_angle_gamma 120.00
loop_
_atom_site_label
_atom_site_fract_x
_atom_site_fract_y
_atom_site_fract_z
Hf1 0.3333 0.6667 0.0000
Be1 0.0000 0.3285 0.5000
Nb1 0.0000 0.0000 0.0000
# DFT total energy   -5.9968 eV/atom



No. 2
# Np2TcIr | Alexandria via LeMat-Bulk | GGA-PBE | optimized geometry
data_Np2TcIr
_chemical_formula_sum 'Np2 Tc1 Ir1'
_space_group_name_H-M_alt 'P 4/m m m'
_space_group_IT_number 123
_space_group_name_Hall '-P 4 2'
_cell_length_a 3.460
_cell_length_b 3.460
_cell_length_c 6.496
_cell_angle_alpha 90.00
_cell_angle_beta 90.00
_cell_angle_gamma 90.00
loop_
_atom_site_label
_atom_site_fract_x
_atom_site_fract_y
_atom_site_fract_z
Np1 0.000 0.000 0.248
Tc1 0.500 0.500 0.500
Ir1 0.500 0.500 0.000
# DFT total energy   -11.3149 eV/atom
# Energy relative to the lowest polymorph listed for this composition   0.000 eV per atom



No. 3
# YBiPO2 | Alexandria via LeMat-Bulk | GGA-PBE | optimized geometry
data_YBiPO2
_chemical_formula_sum 'Y1 Bi1 P1 O2'
_space_group_name_H-M_alt 'P 4/m m m'
_space_group_IT_number 123
_space_group_name_Hall '-P 4 2'
_cell_length_a 4.276
_cell_length_b 4.276
_cell_length_c 5.670
_cell_angle_alpha 90.00
_cell_angle_beta 90.00
_cell_angle_gamma 90.00
loop_
_atom_site_label
_atom_site_fract_x
_atom_site_fract_y
_atom_site_fract_z
Y1 0.000 0.000 0.000
Bi1 0.500 0.500 0.500
P1 0.000 0.000 0.500
O1 0.000 0.500 0.000
# DFT total energy   -6.1429 eV/atom
# Formation energy (no corrections)   -1.009 eV per atom
# Energy relative to the lowest polymorph listed for this composition   0.000 eV per atom



No. 4
# GeAsPtBr2 | Alexandria via LeMat-Bulk | GGA-PBE | optimized geometry
data_GeAsPtBr2
_chemical_formula_sum 'Ge1 As1 Pt1 Br2'
_space_group_name_H-M_alt 'P 4/m m m'
_space_group_IT_number 123
_space_group_name_Hall '-P 4 2'
_cell_length_a 4.999
_cell_length_b 4.999
_cell_length_c 5.299
_cell_angle_alpha 90.00
_cell_angle_beta 90.00
_cell_angle_gamma 90.00
loop_
_atom_site_label
_atom_site_fract_x
_atom_site_fract_y
_atom_site_fract_z
Ge1 0.000 0.000 0.000
As1 0.000 0.000 0.500
Pt1 0.500 0.500 0.500
Br1 0.000 0.500 0.000
# DFT total energy   -2.8725 eV/atom
# Formation energy (no corrections)   0.858 eV per atom
# Energy relative to the lowest polymorph listed for this composition   0.451 eV per atom



No. 5
# AcGdTm2 | Alexandria via LeMat-Bulk | GGA-PBE | optimized geometry
data_AcGdTm2
_chemical_formula_sum 'Ac1 Gd1 Tm2'
_space_group_name_H-M_alt 'P 4/m m m'
_space_group_IT_number 123
_space_group_name_Hall '-P 4 2'
_cell_length_a 5.190
_cell_length_b 5.190
_cell_length_c 5.054
_cell_angle_alpha 90.00
_cell_angle_beta 90.00
_cell_angle_gamma 90.00
loop_
_atom_site_label
_atom_site_fract_x
_atom_site_fract_y
_atom_site_fract_z
Ac1 0.000 0.000 0.000
Gd1 0.500 0.500 0.000
Tm1 0.000 0.500 0.500
# DFT total energy   -6.7259 eV/atom
# Energy relative to the lowest polymorph listed for this composition   0.000 eV per atom



No. 6
# Pu3BiAs2 | Alexandria via LeMat-Bulk | GGA-PBE | optimized geometry
data_Pu3BiAs2
_chemical_formula_sum 'Pu12 Bi4 As8'
_space_group_name_H-M_alt 'C m c m'
_space_group_IT_number 63
_space_group_name_Hall '-C 2c 2'
_cell_length_a 5.138
_cell_length_b 11.951
_cell_length_c 10.224
_cell_angle_alpha 90.00
_cell_angle_beta 90.00
_cell_angle_gamma 90.00
loop_
_atom_site_label
_atom_site_fract_x
_atom_site_fract_y
_atom_site_fract_z
Pu1 0.000 0.105 0.250
Pu2 0.000 0.369 0.038
Bi1 0.000 0.208 0.750
As1 0.000 0.000 0.000
As2 0.000 0.473 0.750
# DFT total energy   -9.9009 eV/atom



No. 7
# Te2O3 | Alexandria via LeMat-Bulk | GGA-PBE | optimized geometry
data_Te2O3
_chemical_formula_sum 'Te8 O12'
_space_group_name_H-M_alt 'P b c n'
_space_group_IT_number 60
_cell_length_a 8.336
_cell_length_b 7.446
_cell_length_c 6.553
_cell_angle_alpha 90.00
_cell_angle_beta 90.00
_cell_angle_gamma 90.00
loop_
_space_group_symop_operation_xyz
'x,y,z'
'-x,-y,-z'
'-x+1/2,-y+1/2,z+1/2'
'x+1/2,y+1/2,-z+1/2'
'x+1/2,-y+1/2,-z'
'-x+1/2,y+1/2,z'
'-x,y,-z+1/2'
'x,-y,z+1/2'
loop_
_atom_site_label
_atom_site_fract_x
_atom_site_fract_y
_atom_site_fract_z
Te1 0.077 0.212 0.017
O1 0.000 0.305 0.750
O2 0.121 0.099 0.409
# DFT total energy   -4.8764 eV/atom
# Formation energy (no corrections)   -0.645 eV per atom



No. 8
# DyY3C8 | Alexandria via LeMat-Bulk | GGA-PBE | optimized geometry
data_DyY3C8
_chemical_formula_sum 'Dy2 Y6 C16'
_space_group_name_H-M_alt 'I m m m'
_space_group_IT_number 71
_space_group_name_Hall '-I 2 2'
_cell_length_a 5.201
_cell_length_b 6.204
_cell_length_c 10.448
_cell_angle_alpha 90.00
_cell_angle_beta 90.00
_cell_angle_gamma 90.00
loop_
_atom_site_label
_atom_site_fract_x
_atom_site_fract_y
_atom_site_fract_z
Dy1 0.000 0.000 0.000
Y1 0.000 0.000 0.500
Y2 0.000 0.500 0.250
C1 0.000 0.105 0.250
C2 0.000 0.395 0.000
C3 0.000 0.395 0.500
# DFT total energy   -8.3342 eV/atom



No. 9
# TcMoS2N | Alexandria via LeMat-Bulk | GGA-PBE | optimized geometry
data_TcMoS2N
_chemical_formula_sum 'Tc1 Mo1 S2 N1'
_space_group_name_H-M_alt 'P 4/m m m'
_space_group_IT_number 123
_space_group_name_Hall '-P 4 2'
_cell_length_a 4.785
_cell_length_b 4.785
_cell_length_c 3.684
_cell_angle_alpha 90.00
_cell_angle_beta 90.00
_cell_angle_gamma 90.00
loop_
_atom_site_label
_atom_site_fract_x
_atom_site_fract_y
_atom_site_fract_z
Tc1 0.000 0.000 0.000
Mo1 0.500 0.500 0.500
S1 0.000 0.500 0.000
N1 0.000 0.000 0.500
# DFT total energy   -6.8879 eV/atom
# Formation energy (no corrections)   0.668 eV per atom
# Energy relative to the lowest polymorph listed for this composition   0.023 eV per atom



No. 10
# NbHSeN2 | Alexandria via LeMat-Bulk | GGA-PBE | optimized geometry
data_NbHSeN2
_chemical_formula_sum 'Nb1 H1 Se1 N2'
_space_group_name_H-M_alt 'P 4/m m m'
_space_group_IT_number 123
_space_group_name_Hall '-P 4 2'
_cell_length_a 3.952
_cell_length_b 3.952
_cell_length_c 5.453
_cell_angle_alpha 90.00
_cell_angle_beta 90.00
_cell_angle_gamma 90.00
loop_
_atom_site_label
_atom_site_fract_x
_atom_site_fract_y
_atom_site_fract_z
Nb1 0.000 0.000 0.000
H1 0.500 0.500 0.500
Se1 0.000 0.000 0.500
N1 0.000 0.500 0.000
# DFT total energy   -5.8339 eV/atom
# Energy relative to the lowest polymorph listed for this composition   0.000 eV per atom